No. 1
A geometry-optimized UNb2Ir structure, computed with GGA-PBE.

Cell and atoms, written as POSCAR:
```
UNb2Ir
1.0
0.0000 3.3012 3.3012
3.3012 0.0000 3.3012
3.3012 3.3012 0.0000
U Nb Ir
1 2 1
Cartesian
0.0000 0.0000 0.0000
1.6506 1.6506 1.6506
4.9518 4.9518 4.9518
3.3012 3.3012 3.3012
```

Values from the calculation:
Its relative energy among the computed polymorphs is 0.068 eV per atom. Its magnetization is 1.9 μB/f.u. The formation energy is 14 meV/atom. Its space-group type is Fm-3m (225).

=====

No. 2
A geometry-optimized UNb2Ir structure, computed with GGA-PBE.

Cell and atoms, written as POSCAR:
```
UNb2Ir
1.0
3.9527 0.0000 0.0000
0.0000 3.9527 0.0000
0.0000 0.0000 4.8341
U Nb Ir
1 2 1
Cartesian
0.0000 0.0000 0.0000
0.0000 1.9764 2.4171
1.9764 0.0000 2.4171
1.9764 1.9764 0.0000
```

Values from the calculation:
Its relative energy among the computed polymorphs is 0.000 eV per atom. Its magnetization is 1.4 μB/f.u. The formation energy is -54 meV/atom. Its space-group type is P4/mmm (123).

=====

No. 3
A geometry-optimized UNbIr structure, computed with GGA-PBE.

Cell and atoms, written as POSCAR:
```
UNbIr
1.0
-1.8118 1.8118 4.2904
1.8118 -1.8118 4.2904
1.8118 1.8118 -4.2904
U Nb Ir
1 1 1
Cartesian
0.0000 0.0000 0.0000
0.0000 0.0000 2.5799
0.0000 0.0000 5.5916
```

Values from the calculation:
Its relative energy among the computed polymorphs is 0.000 eV per atom. Its magnetization is 0.0 μB/f.u. The formation energy is -125 meV/atom. Its space-group type is I4mm (107).

=====

No. 4
A geometry-optimized UNbVIr structure, computed with GGA-PBE.

Cell and atoms, written as POSCAR:
```
UNbVIr
1.0
0.0000 3.2311 3.2311
3.2311 0.0000 3.2311
3.2311 3.2311 0.0000
U Nb V Ir
1 1 1 1
Cartesian
0.0000 0.0000 0.0000
1.6156 1.6156 1.6156
4.8467 4.8467 4.8467
3.2311 3.2311 3.2311
```

Values from the calculation:
Its magnetization is 2.1 μB/f.u. The formation energy is 24 meV/atom. Its space-group type is F-43m (216).

=====

No. 5
A geometry-optimized NbV2Ir structure, computed with GGA-PBE.

Cell and atoms, written as POSCAR:
```
NbV2Ir
1.0
-3.5018 3.5018 2.6432
3.5018 -3.5018 2.6432
3.5018 3.5018 -2.6432
Nb V Ir
2 4 2
Cartesian
0.0000 0.0000 0.0000
0.0000 3.5018 1.3216
1.7509 -1.6072 1.9824
1.8946 1.7509 0.6608
1.7509 5.1089 -0.6608
1.6072 1.7509 3.3040
3.5018 0.0000 1.3216
0.0000 0.0000 2.6432
```

Values from the calculation:
Its magnetization is 0.0 μB/f.u. The formation energy is 262 meV/atom. Its space-group type is I-42d (122).

=====

No. 6
A geometry-optimized NbVIr2 structure, computed with GGA-PBE.

Cell and atoms, written as POSCAR:
```
NbVIr2
1.0
2.8280 0.0000 0.0000
0.0000 2.8280 0.0000
0.0000 0.0000 7.5180
Nb V Ir
1 1 2
Cartesian
0.0000 0.0000 0.0000
0.0000 0.0000 3.7590
1.4140 1.4140 2.0386
1.4140 1.4140 5.4794
```

Values from the calculation:
Its relative energy among the computed polymorphs is 0.000 eV per atom. Its magnetization is 0.3 μB/f.u. The formation energy is -526 meV/atom. Its space-group type is P4/mmm (123).

=====

No. 7
A geometry-optimized NbVIr2 structure, computed with GGA-PBE.

Cell and atoms, written as POSCAR:
```
NbVIr2
1.0
0.0000 3.1516 3.1516
3.1516 0.0000 3.1516
3.1516 3.1516 0.0000
Nb V Ir
1 1 2
Cartesian
0.0000 0.0000 0.0000
3.1516 3.1516 3.1516
1.5758 1.5758 1.5758
4.7275 4.7275 4.7275
```

Values from the calculation:
Its relative energy among the computed polymorphs is 0.339 eV per atom. Its magnetization is 2.9 μB/f.u. The formation energy is -187 meV/atom. Its space-group type is Fm-3m (225).

=====

No. 8
A geometry-optimized Nb3V8Ir structure, computed with GGA-PBE.

Cell and atoms, written as POSCAR:
```
Nb3V8Ir
1.0
2.5160 1.4526 8.1246
-2.5160 1.4526 8.1246
0.0000 -2.9052 8.1246
Nb V Ir
3 8 1
Cartesian
0.0000 0.0000 0.0000
0.0000 0.0000 3.0493
0.0000 0.0000 15.2392
0.0000 -1.4517 5.5487
-1.2572 0.7259 5.5487
-1.2569 -0.7257 9.6904
0.0000 0.0000 7.5978
1.2572 0.7259 5.5487
1.2569 -0.7257 9.6904
0.0000 1.4514 9.6904
0.0000 0.0000 19.8147
0.0000 0.0000 12.2293
```

Values from the calculation:
Its magnetization is 0.0 μB/f.u. The formation energy is -119 meV/atom. Its space-group type is R3m (160).

=====

No. 9
A geometry-optimized Nb2VIr structure, computed with GGA-PBE.

Cell and atoms, written as POSCAR:
```
Nb2VIr
1.0
4.4583 0.0000 0.0000
0.0000 4.4583 0.0000
0.0000 0.0000 3.2483
Nb V Ir
2 1 1
Cartesian
0.0000 2.2291 0.0000
2.2291 0.0000 0.0000
0.0000 0.0000 1.6242
2.2291 2.2291 1.6242
```

Values from the calculation:
Its relative energy among the computed polymorphs is 0.001 eV per atom. Its magnetization is 0.0 μB/f.u. The formation energy is -288 meV/atom. Its space-group type is P4/mmm (123).

=====

No. 10
A geometry-optimized Nb2VIr9 structure, computed with GGA-PBE.

Cell and atoms, written as POSCAR:
```
Nb2VIr9
1.0
3.9014 0.0000 0.0000
0.0000 3.9014 0.0000
0.0000 0.0000 11.6944
Nb V Ir
2 1 9
Cartesian
0.0000 0.0000 1.9778
0.0000 0.0000 9.7166
0.0000 0.0000 5.8472
0.0000 1.9507 0.0000
0.0000 1.9507 3.9639
0.0000 1.9507 7.7305
1.9507 0.0000 0.0000
1.9507 0.0000 3.9639
1.9507 0.0000 7.7305
1.9507 1.9507 1.9719
1.9507 1.9507 5.8472
1.9507 1.9507 9.7225
```

Values from the calculation:
Its magnetization is 0.0 μB/f.u. The formation energy is -549 meV/atom. Its space-group type is P4/mmm (123).

=====

No. 11
A geometry-optimized Nb4VIr structure, computed with GGA-PBE.

Cell and atoms, written as POSCAR:
```
Nb4VIr
1.0
4.3385 0.0000 0.0000
0.0014 4.3737 0.0000
0.0129 0.5104 6.1725
Nb V Ir
4 1 1
Cartesian
0.0049 0.1609 1.4801
4.3479 4.7231 4.6924
2.1793 2.5062 4.6809
2.1735 2.3779 1.4916
0.0007 2.1869 0.0000
2.1757 0.2552 3.0863
```

Values from the calculation:
Its magnetization is 0.0 μB/f.u. The formation energy is 314 meV/atom. Its space-group type is P-1 (2).

=====

No. 12
A geometry-optimized NbVIr structure, computed with GGA-PBE.

Cell and atoms, written as POSCAR:
```
NbVIr
1.0
2.7063 -4.4203 0.0000
2.7063 4.4203 0.0000
0.0000 0.0000 7.7275
Nb V Ir
4 4 4
Cartesian
2.7063 3.1322 7.2280
2.7063 1.2881 3.3642
2.7063 -1.2881 4.3633
2.7063 -3.1322 0.4996
2.7063 3.5726 4.6900
2.7063 0.8477 0.8262
2.7063 -0.8477 6.9013
2.7063 -3.5726 3.0376
1.3532 1.0873 5.7957
1.3532 -1.0873 1.9319
4.0595 1.0873 5.7957
4.0595 -1.0873 1.9319
```

Values from the calculation:
Its relative energy among the computed polymorphs is 0.072 eV per atom. Its magnetization is 0.0 μB/f.u. The formation energy is -156 meV/atom. Its space-group type is Cmce (64).